LiMgAgHg after structural relaxation. Source: OQMD, functional GGA-PBE.

Calculated values
The energy above the most stable polymorph in this dataset is 53 meV/atom.

Lattice parameters (Å, degrees): 4.717 4.717 4.717 60.00 60.00 60.00
Atoms (fractional coordinates):
1 Li 0.000 0.000 0.000
2 Mg 0.750 0.750 0.750
3 Ag 0.250 0.250 0.250
4 Hg 0.500 0.500 0.500



LiEr3S4 after structural relaxation. Source: OQMD, functional GGA-PBE.

Calculated values
For the final energy, the calculation gives -5.939 eV per atom.

Lattice parameters (Å, degrees): 6.643 6.643 3.832 90.00 90.00 109.36
Atoms (fractional coordinates):
1 Li 0.000 0.000 0.000
2 Er 0.000 0.500 0.500
3 Er 0.500 0.000 0.500
4 Er 0.500 0.500 0.000
5 S 0.246 0.246 0.500
6 S 0.246 0.754 0.000
7 S 0.754 0.246 0.000
8 S 0.754 0.754 0.500